No. 1
First-principles (PBE) data for crystalline Zr5Fe4Co at its relaxed geometry, as listed in Alexandria via LeMat-Bulk.

Properties
- calculated density (g cm⁻³) = 7.64
- volume (Å³ per atom) = 16.05
- space group = P4/mmm
- uncorrected energy (eV per atom) = -8.576
- DFT formation energy (eV per formula unit) = -2.1

Cell lengths 3.1796, 3.1796, 15.8754 Å; angles 90.00, 90.00, 90.00 degrees
Last column: nearest neighbours and their distance in Å.
Fractional coordinates of all 10 atoms:
Zr 0.0000 0.0000 0.0000  8 Fe 2.75
Zr 0.0000 0.0000 0.2003  8 Fe 2.76
Zr 0.0000 0.0000 0.3995  4 Fe 2.74, 4 Co 2.76
Zr 0.0000 0.0000 0.6005  4 Fe 2.74, 4 Co 2.76
Zr 0.0000 0.0000 0.7997  8 Fe 2.76
Fe 0.5000 0.5000 0.1000  8 Zr 2.75-2.76
Fe 0.5000 0.5000 0.3013  8 Zr 2.74-2.76
Fe 0.5000 0.5000 0.6987  8 Zr 2.74-2.76
Fe 0.5000 0.5000 0.9000  8 Zr 2.75-2.76
Co 0.5000 0.5000 0.5000  8 Zr 2.76

No. 2
First-principles (PBE) data for crystalline ZrFeCo2 at its relaxed geometry, as listed in Alexandria via LeMat-Bulk.

Properties
- calculated density (g cm⁻³) = 7.38
- volume (Å³ per atom) = 14.90
- space group = I-42d
- uncorrected energy (eV per atom) = -7.444
- DFT formation energy (eV per formula unit) = 1.4

Cell lengths 8.8952, 8.8952, 8.8952 Å; angles 155.68, 155.68, 34.66 degrees
Last column: nearest neighbours and their distance in Å.
Fractional coordinates of all 8 atoms:
Zr 0.0000 0.0000 0.0000  4 Co 2.61, 4 Fe 2.65
Zr 0.7500 0.2500 0.5000  4 Co 2.61, 4 Fe 2.65
Fe 0.2500 0.7500 0.5000  4 Co 2.42, 4 Zr 2.65
Fe 0.5000 0.5000 0.0000  4 Co 2.42, 4 Zr 2.65
Co 0.1933 0.6250 0.0683  2 Co 2.32, 2 Fe 2.42
Co 0.3750 0.4433 0.5683  2 Co 2.32, 2 Fe 2.42
Co 0.5567 0.1250 0.9317  2 Co 2.32, 2 Fe 2.42
Co 0.8750 0.8067 0.4317  2 Co 2.32, 2 Fe 2.42